(1)
Here is crystalline NaSr2InS4 at its relaxed geometry from the Alexandria database. Energies are from GGA-PBE.

```
NaSr2InS4
1.0
-4.1343 4.1528 5.6952
4.1343 -4.1528 5.6952
4.1343 4.1528 -5.6952
Na Sr In S
2 4 2 8
Cartesian
0.0000 0.0000 0.0000 Na
0.0000 4.1528 0.0000 Na
4.1343 0.0000 0.0000 Sr
-2.0672 2.0764 2.8476 Sr
0.0000 0.0000 5.6952 Sr
2.0672 2.0764 2.8476 Sr
2.0672 2.0764 -2.8476 In
2.0672 -2.0764 2.8476 In
2.0420 2.0764 -0.2329 S
4.1343 4.0282 -2.9066 S
2.0923 -2.0764 5.4623 S
4.1343 -0.1246 2.9066 S
0.0000 4.2774 2.7886 S
2.0420 6.2292 0.2329 S
0.0000 0.1246 8.6018 S
2.0923 2.0764 5.9280 S
```

- formation energy without anion corrections (eV per atom) = -1.41


(2)
Here is crystalline La12Nd5Dy2 at its relaxed geometry from the Alexandria database. Energies are from GGA-PBE.

```
La12Nd5Dy2
1.0
9.7670 -3.8037 0.0000
9.7670 3.8037 0.0000
-4.4083 0.0000 9.2766
La Nd Dy
12 5 2
Cartesian
-0.8050 0.0000 2.0083 La
4.2911 2.0136 4.6254 La
5.9853 1.9034 1.4023 La
10.8346 2.0136 4.6513 La
9.1404 1.9034 7.8743 La
6.6320 0.0000 6.1841 La
8.4937 0.0000 3.0925 La
5.9853 -1.9034 1.4023 La
4.2911 -2.0136 4.6254 La
9.1404 -1.9034 7.8743 La
10.8346 -2.0136 4.6513 La
15.9307 0.0000 7.2683 La
-2.2041 0.0000 4.6383 Nd
2.6690 0.0000 1.5309 Nd
2.7952 0.0000 7.4475 Nd
12.3305 0.0000 1.8292 Nd
12.4567 0.0000 7.7457 Nd
9.7670 1.5328 0.0000 Dy
9.7670 -1.5328 0.0000 Dy
```

- distance to the lowest polymorph of the same formula (eV/f.u.) = 1.28


(3)
Here is crystalline La2TbPr6Ho at its relaxed geometry from the Alexandria database. Energies are from GGA-PBE.

```
La2TbPr6Ho
1.0
4.6328 -7.6824 0.0000
4.6328 7.6824 0.0000
-1.8540 0.0000 10.0232
La Tb Pr Ho
4 2 12 2
Cartesian
2.1560 0.7365 0.4158 La
1.2290 -0.7365 5.4274 La
6.1826 0.7365 4.5958 La
5.2556 -0.7365 9.6074 La
4.1693 7.4878 2.5058 Tb
3.2423 -7.4878 7.5174 Tb
2.4185 4.3316 1.8976 Pr
2.9772 4.7777 5.5669 Pr
3.5074 4.7777 9.4679 Pr
2.9806 1.5507 3.7976 Pr
5.9201 4.3316 3.1140 Pr
2.0537 -1.5507 8.8092 Pr
5.3580 1.5507 1.2140 Pr
1.4915 -4.3316 6.9092 Pr
4.4310 -1.5507 6.2256 Pr
3.9042 -4.7777 0.5553 Pr
4.4344 -4.7777 4.4563 Pr
4.9931 -4.3316 8.1256 Pr
3.2423 1.4612 7.5174 Ho
4.1693 -1.4612 2.5058 Ho
```

- VASP energy (eV/atom) = -4.6644


(4)
Here is crystalline Sr3Nd2PaBi6 at its relaxed geometry from the Alexandria database. Energies are from GGA-PBE.

```
Sr3Nd2PaBi6
1.0
4.0520 -7.0312 0.0000
4.0520 7.0312 0.0000
-2.7153 0.0000 7.7533
Sr Nd Pa Bi
3 2 1 6
Cartesian
0.0000 0.0000 0.0000 Sr
4.0520 2.4131 0.0000 Sr
4.0520 -2.4131 0.0000 Sr
2.6944 4.6971 3.8766 Nd
2.6944 -4.6971 3.8766 Nd
2.6944 0.0000 3.8766 Pa
1.3944 2.2669 2.1142 Bi
0.0881 0.0000 5.6594 Bi
1.3944 -2.2669 2.1142 Bi
3.9944 2.2669 5.6391 Bi
5.3008 0.0000 2.0938 Bi
3.9944 -2.2669 5.6391 Bi
```

- VASP energy (eV/atom) = -4.6965


(5)
Here is crystalline Al2Ga at its relaxed geometry from the Alexandria database. Energies are from GGA-PBE.

```
Al2Ga
1.0
-1.4902 1.4902 5.7451
1.4902 -1.4902 5.7451
1.4902 1.4902 -5.7451
Al Ga
2 1
Cartesian
0.0000 0.0000 1.9306 Al
0.0000 0.0000 9.5597 Al
0.0000 0.0000 5.7451 Ga
```

- VASP energy (eV/atom) = -3.4732


(6)
Here is crystalline Zr2Cd6Hg at its relaxed geometry from the Alexandria database. Energies are from GGA-PBE.

```
Zr2Cd6Hg
1.0
7.6718 -4.2751 0.0000
7.6718 4.2751 0.0000
-0.0336 0.0000 3.0885
Zr Cd Hg
2 6 1
Cartesian
2.8528 0.0000 1.5321 Zr
12.4572 0.0000 1.5565 Zr
5.1891 1.5436 0.0143 Cd
7.6550 2.8542 1.5443 Cd
10.1209 1.5436 3.0742 Cd
5.1891 -1.5436 0.0143 Cd
7.6550 -2.8542 1.5443 Cd
10.1209 -1.5436 3.0742 Cd
7.6718 0.0000 0.0000 Hg
```

- distance to the lowest polymorph of the same formula (eV/f.u.) = 0.00


(7)
Here is crystalline TaAl4Os at its relaxed geometry from the Alexandria database. Energies are from GGA-PBE.

```
TaAl4Os
1.0
0.0000 3.5546 3.5546
3.5546 0.0000 3.5546
3.5546 3.5546 0.0000
Ta Al Os
1 4 1
Cartesian
0.0000 0.0000 0.0000 Ta
4.4429 2.6663 2.6663 Al
2.6663 4.4429 2.6663 Al
2.6663 2.6663 4.4429 Al
4.4429 4.4429 4.4429 Al
1.7773 1.7773 1.7773 Os
```

- VASP energy (eV/atom) = -6.2613


(8)
Here is crystalline MnTlGaPb2 at its relaxed geometry from the Alexandria database. Energies are from GGA-PBE.

```
MnTlGaPb2
1.0
5.1863 0.0000 0.0000
0.0000 5.1863 0.0000
0.0000 0.0000 4.7935
Mn Tl Ga Pb
1 1 1 2
Cartesian
0.0000 0.0000 0.0000 Mn
2.5932 2.5932 2.3968 Tl
0.0000 0.0000 2.3968 Ga
0.0000 2.5932 0.0000 Pb
2.5932 0.0000 0.0000 Pb
```

- VASP energy (eV/atom) = -4.1397


(9)
Here is crystalline RbCu5Se4 at its relaxed geometry from the Alexandria database. Energies are from GGA-PBE.

```
RbCu5Se4
1.0
8.1646 0.0000 0.0000
0.0000 12.8205 0.0000
0.0000 0.0000 3.8012
Rb Cu Se
2 10 8
Cartesian
2.0412 3.2051 0.9404 Rb
6.1235 9.6154 2.8607 Rb
0.6500 7.0658 0.9496 Cu
0.6500 12.1650 0.9496 Cu
2.0412 9.6154 2.8617 Cu
3.4323 7.0658 0.9496 Cu
3.4323 12.1650 0.9496 Cu
4.7323 0.6555 2.8516 Cu
4.7323 5.7547 2.8516 Cu
6.1235 3.2051 0.9395 Cu
7.5147 0.6555 2.8516 Cu
7.5147 5.7547 2.8516 Cu
0.5640 9.6154 0.9613 Se
2.0412 0.2379 2.8507 Se
2.0412 6.1723 2.8507 Se
3.5183 9.6154 0.9613 Se
4.6464 3.2051 2.8399 Se
6.1235 6.6482 0.9505 Se
6.1235 12.5826 0.9505 Se
7.6006 3.2051 2.8399 Se
```

- formation energy without anion corrections (eV per atom) = -0.20


(10)
Here is crystalline Pr2InRh at its relaxed geometry from the Alexandria database. Energies are from GGA-PBE.

```
Pr2InRh
1.0
2.0171 1.1646 9.9801
-2.0171 1.1646 9.9801
0.0000 -2.3292 9.9801
Pr In Rh
2 1 1
Cartesian
0.0000 0.0000 3.3826 Pr
0.0000 0.0000 26.5576 Pr
0.0000 0.0000 0.0000 In
0.0000 0.0000 14.9701 Rh
```

- distance to the lowest polymorph of the same formula (eV/f.u.) = 1.29


(11)
Here is crystalline AcDyScSn at its relaxed geometry from the Alexandria database. Energies are from GGA-PBE.

```
AcDyScSn
1.0
0.0000 3.8383 3.8383
3.8383 0.0000 3.8383
3.8383 3.8383 0.0000
Ac Dy Sc Sn
1 1 1 1
Cartesian
0.0000 0.0000 0.0000 Ac
1.9191 1.9191 1.9191 Dy
5.7574 5.7574 5.7574 Sc
3.8383 3.8383 3.8383 Sn
```

- VASP energy (eV/atom) = -4.9041


(12)
Here is crystalline YSbPt2 at its relaxed geometry from the Alexandria database. Energies are from GGA-PBE.

```
YSbPt2
1.0
2.2460 1.2967 5.0326
-2.2460 1.2967 5.0326
0.0000 -2.5935 5.0326
Y Sb Pt
1 1 2
Cartesian
0.0000 0.0000 0.0000 Y
0.0000 0.0000 12.1102 Sb
0.0000 0.0000 3.3416 Pt
0.0000 0.0000 6.3432 Pt
```

- formation energy without anion corrections (eV per atom) = -0.77